Version one
# Sm5Ho2Mg5 | the Alexandria database | PBE | relaxed
# density	5.52	g cm⁻³
# total moment	0.00	μB per formula unit
data_Sm5Ho2Mg5
_chemical_formula_sum 'Sm10 Ho4 Mg10'
_cell_length_a 15.628
_cell_length_b 3.504
_cell_length_c 14.022
_cell_angle_alpha 90.00
_cell_angle_beta 109.40
_cell_angle_gamma 90.00
_symmetry_space_group_name_H-M 'C 1 2/m 1'
_symmetry_Int_Tables_number 12
loop_
_symmetry_equiv_pos_as_xyz
'x,y,z'
'-x,-y,-z'
'-x,y,-z'
'x,-y,z'
'x+1/2,y+1/2,z'
'-x+1/2,-y+1/2,-z'
'-x+1/2,y+1/2,-z'
'x+1/2,-y+1/2,z'
loop_
_atom_site_label
_atom_site_type_symbol
_atom_site_fract_x
_atom_site_fract_y
_atom_site_fract_z
Sm1 Sm 0.000 0.000 0.000
Sm2 Sm 0.066 0.500 0.805
Sm3 Sm 0.148 0.500 0.442
Ho1 Ho 0.188 0.000 0.675
Mg1 Mg 0.000 0.000 0.500
Mg2 Mg 0.130 0.000 0.230
Mg3 Mg 0.214 0.500 0.074

=====

Version two
# Sm5Ho2Mg5 | the Alexandria database | PBE | relaxed
# density	5.71	g cm⁻³
# total moment	0.00	μB per formula unit
data_Sm5Ho2Mg5
_chemical_formula_sum 'Sm10 Ho4 Mg10'
_cell_length_a 17.094
_cell_length_b 3.676
_cell_length_c 12.242
_cell_angle_alpha 90.00
_cell_angle_beta 114.48
_cell_angle_gamma 90.00
_symmetry_space_group_name_H-M 'C 1 2/m 1'
_symmetry_Int_Tables_number 12
loop_
_symmetry_equiv_pos_as_xyz
'x,y,z'
'-x,-y,-z'
'-x,y,-z'
'x,-y,z'
'x+1/2,y+1/2,z'
'-x+1/2,-y+1/2,-z'
'-x+1/2,y+1/2,-z'
'x+1/2,-y+1/2,z'
loop_
_atom_site_label
_atom_site_type_symbol
_atom_site_fract_x
_atom_site_fract_y
_atom_site_fract_z
Sm1 Sm 0.000 0.000 0.000
Sm2 Sm 0.059 0.000 0.745
Sm3 Sm 0.168 0.000 0.524
Ho1 Ho 0.118 0.500 0.259
Mg1 Mg 0.000 0.500 0.500
Mg2 Mg 0.172 0.500 0.001
Mg3 Mg 0.233 0.500 0.780

=====

The relative energies come out as version one 0.119; version two 0.000, with values in eV/atom.

=====

Version one
# SmYHoMg | the Alexandria database | PBE | relaxed
# density	5.93	g cm⁻³
# total moment	0.00	μB per formula unit
data_SmYHoMg
_chemical_formula_sum 'Sm4 Y4 Ho4 Mg4'
_cell_length_a 7.828
_cell_length_b 7.828
_cell_length_c 7.828
_cell_angle_alpha 90.00
_cell_angle_beta 90.00
_cell_angle_gamma 90.00
_symmetry_space_group_name_H-M 'F -4 3 m'
_symmetry_Int_Tables_number 216
_symmetry_space_group_name_Hall 'F -4 2 3'
loop_
_atom_site_label
_atom_site_type_symbol
_atom_site_fract_x
_atom_site_fract_y
_atom_site_fract_z
Sm1 Sm 0.000 0.000 0.000
Y1 Y 0.000 0.000 0.500
Ho1 Ho 0.250 0.250 0.250
Mg1 Mg 0.250 0.250 0.750

=====

Version two
# SmYHoMg | the Alexandria database | PBE | relaxed
# density	5.91	g cm⁻³
# total moment	0.00	μB per formula unit
data_SmYHoMg
_chemical_formula_sum 'Sm1 Y1 Ho1 Mg1'
_cell_length_a 3.632
_cell_length_b 3.632
_cell_length_c 9.126
_cell_angle_alpha 90.00
_cell_angle_beta 90.00
_cell_angle_gamma 90.00
_symmetry_space_group_name_H-M 'P 4 m m'
_symmetry_Int_Tables_number 99
loop_
_symmetry_equiv_pos_as_xyz
'x,y,z'
'-y,x,z'
'-x,-y,z'
'y,-x,z'
'-x,y,z'
'y,x,z'
'x,-y,z'
'-y,-x,z'
loop_
_atom_site_label
_atom_site_type_symbol
_atom_site_fract_x
_atom_site_fract_y
_atom_site_fract_z
Sm1 Sm 0.000 0.000 0.000
Y1 Y 0.500 0.500 0.726
Ho1 Ho 0.500 0.500 0.268
Mg1 Mg 0.000 0.000 0.496

=====

The relative energies come out as version one 0.070; version two 0.000, with values in eV/atom.

=====

Version one
# HoMg2Sn2 | the Alexandria database | PBE | relaxed
# density	5.51	g cm⁻³
# total moment	0.00	μB per formula unit
data_HoMg2Sn2
_chemical_formula_sum 'Ho2 Mg4 Sn4'
_cell_length_a 4.9712
_cell_length_b 4.9712
_cell_length_c 12.7011
_cell_angle_alpha 90.00
_cell_angle_beta 90.00
_cell_angle_gamma 120.00
_symmetry_space_group_name_H-M 'P 63/m m c'
_symmetry_Int_Tables_number 194
_symmetry_space_group_name_Hall '-P 6c 2c'
loop_
_atom_site_label
_atom_site_type_symbol
_atom_site_fract_x
_atom_site_fract_y
_atom_site_fract_z
Ho1 Ho 0.0000 0.0000 0.2500
Mg1 Mg 0.0000 0.0000 0.0000
Mg2 Mg 0.3333 0.6667 0.2500
Sn1 Sn 0.3333 0.6667 0.6256

=====

Version two
# HoMg2Sn2 | the Alexandria database | PBE | relaxed
# density	6.14	g cm⁻³
# total moment	0.00	μB per formula unit
data_HoMg2Sn2
_chemical_formula_sum 'Ho4 Mg8 Sn8'
_cell_length_a 4.410
_cell_length_b 24.887
_cell_length_c 4.444
_cell_angle_alpha 90.00
_cell_angle_beta 90.00
_cell_angle_gamma 90.00
_symmetry_space_group_name_H-M 'C m c m'
_symmetry_Int_Tables_number 63
_symmetry_space_group_name_Hall '-C 2c 2'
loop_
_atom_site_label
_atom_site_type_symbol
_atom_site_fract_x
_atom_site_fract_y
_atom_site_fract_z
Ho1 Ho 0.000 0.152 0.250
Mg1 Mg 0.000 0.046 0.750
Mg2 Mg 0.000 0.454 0.750
Sn1 Sn 0.000 0.249 0.750
Sn2 Sn 0.000 0.372 0.250

=====

The relative energies come out as version one 0.311; version two 0.000, with values in eV/atom.

=====

Version one
# HoMg2Sn | the Alexandria database | PBE | relaxed
# density	5.78	g cm⁻³
# total moment	0.00	μB per formula unit
data_HoMg2Sn
_chemical_formula_sum 'Ho1 Mg2 Sn1'
_cell_length_a 4.485
_cell_length_b 4.485
_cell_length_c 4.743
_cell_angle_alpha 90.00
_cell_angle_beta 90.00
_cell_angle_gamma 90.00
_symmetry_space_group_name_H-M 'P 4/m m m'
_symmetry_Int_Tables_number 123
_symmetry_space_group_name_Hall '-P 4 2'
loop_
_atom_site_label
_atom_site_type_symbol
_atom_site_fract_x
_atom_site_fract_y
_atom_site_fract_z
Ho1 Ho 0.000 0.000 0.000
Mg1 Mg 0.000 0.500 0.500
Sn1 Sn 0.500 0.500 0.000

=====

Version two
# HoMg2Sn | the Alexandria database | PBE | relaxed
# density	5.13	g cm⁻³
# total moment	0.00	μB per formula unit
data_HoMg2Sn
_chemical_formula_sum 'Ho3 Mg6 Sn3'
_cell_length_a 3.3141
_cell_length_b 3.3141
_cell_length_c 33.9443
_cell_angle_alpha 90.00
_cell_angle_beta 90.00
_cell_angle_gamma 120.00
_symmetry_space_group_name_H-M 'R -3 m'
_symmetry_Int_Tables_number 166
_symmetry_space_group_name_Hall '-R 3 2"'
loop_
_atom_site_label
_atom_site_type_symbol
_atom_site_fract_x
_atom_site_fract_y
_atom_site_fract_z
Ho1 Ho 0.0000 0.0000 0.0000
Mg1 Mg 0.0000 0.0000 0.0937
Sn1 Sn 0.0000 0.0000 0.5000

=====

The relative energies come out as version one 0.000; version two 0.549, with values in eV/atom.